# TmSc4Sn2 | the Alexandria database | PBE | optimized geometry
data_TmSc4Sn2
_chemical_formula_sum 'Tm1 Sc4 Sn2'
_cell_length_a 8.600
_cell_length_b 8.600
_cell_length_c 8.600
_cell_angle_alpha 146.51
_cell_angle_beta 146.51
_cell_angle_gamma 48.09
_space_group_name_H-M_alt 'P 1'
_space_group_IT_number 1
loop_
_space_group_symop_operation_xyz
'x,y,z'
loop_
_atom_site_label
_atom_site_fract_x
_atom_site_fract_y
_atom_site_fract_z
Tm1 0.000 0.000 0.000
Sc1 0.000 0.500 0.500
Sc2 0.185 0.185 0.000
Sc3 0.500 0.000 0.500
Sc4 0.815 0.815 0.000
Sn1 0.371 0.371 0.000
Sn2 0.629 0.629 0.000
# energy of formation = 0.425 eV per atom
# E = -4.9753 eV per atom
# ρ = 5.0 g cm⁻³
# DOS(E_F) = 10.37 states/eV/cell